Here is crystalline Sm2PuN4 at its relaxed geometry from Alexandria. Energies are from GGA-PBE.

Results
Magnetic moment, μB per formula unit: 2.00
Energy relative to the elements, uncorrected, eV per atom: -1.28
Space-group type: No. 55
Volume, Å³ per atom: 14.84

abc: 3.5604 5.9637 9.7835
angles: 90.00 90.00 90.00
Each line ends with the local moment (μB).
Positions (direct):
Sm 0.5000 0.9298 0.8227  0.00
Sm 0.5000 0.5702 0.3227  0.00
Sm 0.5000 0.0702 0.1773  0.00
Sm 0.5000 0.4298 0.6773  0.00
N 0.5000 0.2273 0.4520  -0.13
N 0.5000 0.7727 0.5480  -0.13
N 0.0000 0.3661 0.1887  -0.10
N 0.0000 0.1339 0.6887  -0.10
N 0.0000 0.8661 0.3113  -0.10
N 0.5000 0.7273 0.0480  -0.13
N 0.5000 0.2727 0.9520  -0.13
N 0.0000 0.6339 0.8113  -0.10
Pu 0.0000 0.5000 0.0000  2.53
Pu 0.0000 0.0000 0.5000  2.53